--- w ---
# CoSb2AuI

A relaxed CoSb2AuI crystal (PBE, Alexandria via LeMat-Bulk).

The structure in extended XYZ format:
```
5
Lattice="-1.682 -0.036 4.567 3.266 -3.411 1.176 3.553 3.863 1.339" Properties=species:S:1:pos:R:3 pbc="T T T"
Sb -0.841 -0.018 2.283
Co 0.000 0.000 0.000
Sb 1.633 -1.706 0.588
Au 2.569 0.208 3.541
I 1.777 1.932 0.670
```

Results
DOS(E_F) = 0.702 states/eV/atom
space group = P4/mmm
magnetization = 0.00 Bohr magnetons per cell

---

--- x ---
# CoSb2AuI

A relaxed CoSb2AuI crystal (PBE, Alexandria via LeMat-Bulk).

The structure in extended XYZ format:
```
5
Lattice="5.397 0.000 0.000 0.000 5.397 0.000 0.000 0.000 5.633" Properties=species:S:1:pos:R:3 pbc="T T T"
Sb 0.000 2.698 0.000
Sb 2.698 0.000 0.000
Co 2.698 2.698 2.816
Au 0.000 0.000 0.000
I 0.000 0.000 2.816
```

Results
DOS(E_F) = 1.149 states/eV/atom
space group = P4/mmm
magnetization = 2.70 Bohr magnetons per cell

---

Energy ordering: w at the bottom, the next structure 64.6 kJ/mol of atoms above.

---

--- w ---
# InCo2Au2

A relaxed InCo2Au2 crystal (PBE, Alexandria via LeMat-Bulk).

The structure in extended XYZ format:
```
5
Lattice="-3.454 0.038 -0.129 0.038 -2.912 -1.862 -1.977 -5.321 5.072" Properties=species:S:1:pos:R:3 pbc="T T T"
Co -3.570 -3.360 1.974
Au -3.627 -5.918 2.763
In 0.000 0.000 0.000
Co -1.824 -4.835 1.107
Au -1.766 -2.278 0.318
```

Results
DOS(E_F) = 1.022 states/eV/atom
space group = I4/mmm
magnetization = 3.85 Bohr magnetons per cell

---

--- x ---
# InCo2Au2

A relaxed InCo2Au2 crystal (PBE, Alexandria via LeMat-Bulk).

The structure in extended XYZ format:
```
10
Lattice="6.639 0.000 0.000 0.000 6.639 0.000 0.000 0.000 3.716" Properties=species:S:1:pos:R:3 pbc="T T T"
Co 5.840 4.119 0.000
In 0.000 0.000 0.000
Au 5.504 2.185 1.858
Co 0.799 2.520 0.000
Co 4.119 0.799 0.000
Au 1.135 4.454 1.858
In 3.320 3.320 0.000
Au 4.454 5.504 1.858
Co 2.520 5.840 0.000
Au 2.185 1.135 1.858
```

Results
DOS(E_F) = 1.113 states/eV/atom
space group = P4/mbm
magnetization = 5.67 Bohr magnetons per cell

---

Energy ordering: x at the bottom, the next structure 5.2 kJ/mol of atoms above.

---

--- w ---
# In2CoAu

A relaxed In2CoAu crystal (PBE, Alexandria via LeMat-Bulk).

The structure in extended XYZ format:
```
4
Lattice="-2.206 -2.696 -3.205 -1.629 -4.413 -0.530 -5.146 0.481 1.420" Properties=species:S:1:pos:R:3 pbc="T T T"
Au -6.736 -4.971 -1.737
In -3.892 -7.028 -3.671
In -4.434 -3.395 -1.222
Co -2.245 -1.657 -0.579
```

Results
DOS(E_F) = 1.001 states/eV/atom
space group = C2/m
magnetization = 1.19 Bohr magnetons per cell

---

--- x ---
# In2CoAu

A relaxed In2CoAu crystal (PBE, Alexandria via LeMat-Bulk).

The structure in extended XYZ format:
```
4
Lattice="-0.198 6.886 1.197 -3.608 -2.572 -1.546 -1.870 1.135 2.510" Properties=species:S:1:pos:R:3 pbc="T T T"
Co -1.903 2.157 -0.175
Au -2.739 -0.719 0.482
In 0.000 0.000 0.000
In -1.034 4.010 1.853
```

Results
DOS(E_F) = 0.520 states/eV/atom
space group = C2/m
magnetization = 0.89 Bohr magnetons per cell

---

Energy ordering: x at the bottom, the next structure 5.9 kJ/mol of atoms above.

---

--- w ---
# In2CoAu

A relaxed In2CoAu crystal (PBE, Alexandria via LeMat-Bulk).

The structure in extended XYZ format:
```
4
Lattice="-2.029 -1.105 4.780 -2.928 -4.418 0.295 4.791 1.272 -1.900" Properties=species:S:1:pos:R:3 pbc="T T T"
Co 0.142 -1.298 2.708
Au -2.478 -2.762 2.537
In -0.308 -2.954 0.466
In 0.000 0.000 0.000
```

Results
DOS(E_F) = 0.562 states/eV/atom
space group = I-4m2
magnetization = 0.00 Bohr magnetons per cell

---

--- x ---
# In2CoAu

A relaxed In2CoAu crystal (PBE, Alexandria via LeMat-Bulk).

The structure in extended XYZ format:
```
4
Lattice="-0.383 3.925 -7.752 -3.484 3.576 -7.121 -1.890 6.065 -5.939" Properties=species:S:1:pos:R:3 pbc="T T T"
Co -1.439 3.391 -5.203
In -2.926 6.895 -10.578
In -5.709 13.454 -20.640
Au -4.317 10.174 -15.609
```

Results
DOS(E_F) = 0.733 states/eV/atom
space group = R-3m
magnetization = 0.49 Bohr magnetons per cell

---

--- y ---
# In2CoAu

A relaxed In2CoAu crystal (PBE, Alexandria via LeMat-Bulk).

The structure in extended XYZ format:
```
4
Lattice="1.886 -0.463 4.252 -2.761 -0.441 3.747 -0.263 -4.095 2.241" Properties=species:S:1:pos:R:3 pbc="T T T"
Au -0.569 -2.499 5.120
In -0.284 -1.250 2.560
In -0.853 -3.749 7.680
Co 0.000 0.000 0.000
```

Results
DOS(E_F) = 0.884 states/eV/atom
space group = Fm-3m
magnetization = 0.83 Bohr magnetons per cell

---

Energy ordering: w at the bottom, the next structure 2.4 kJ/mol of atoms above.